A relaxed structure of HfCrB. Source: the Alexandria database, functional PBE.

Cell lengths 5.6691, 3.0660, 9.2655 Å; angles 90.00, 107.66, 90.00 degrees
Closest atoms and distances in Å follow each position.
Positions (direct):
1 B 0.9270 0.0000 0.7071  2 B 1.81
2 Hf 0.5000 0.5000 0.0000  2 B 2.59, 6 Cr 2.68-2.81
3 B 0.9270 0.5000 0.2071  2 B 1.81
4 B 0.0730 0.5000 0.7929  2 B 1.81
5 Cr 0.3232 0.0000 0.7528  3 B 2.16-2.20
6 B 0.0730 0.0000 0.2929  2 B 1.81
7 Cr 0.6768 0.5000 0.7472  3 B 2.16-2.20
8 Hf 0.0000 0.0000 0.0000  6 B 2.59-2.62
9 Cr 0.3232 0.5000 0.2528  3 B 2.16-2.20
10 Cr 0.6768 0.0000 0.2472  3 B 2.16-2.20
11 Hf 0.5000 0.0000 0.5000  2 B 2.59, 6 Cr 2.68-2.81
12 Hf 0.0000 0.5000 0.5000  6 B 2.59-2.62

Properties
Calculated formation energy (eV per atom): -0.325

***

A relaxed structure of HfCr4B2. Source: the Alexandria database, functional PBE.

Cell lengths 3.0534, 3.6804, 7.1147 Å; angles 104.99, 90.00, 90.00 degrees
Closest atoms and distances in Å follow each position.
Positions (direct):
1 Hf 0.0000 0.0000 0.0000  8 B 2.55, 4 Cr 2.81
2 Cr 0.0000 0.3235 0.6471  2 B 2.16, 4 Cr 2.39
3 Cr 0.5000 0.1716 0.3433  2 B 2.35, 6 Cr 2.39-2.59
4 Cr 0.0000 0.6765 0.3529  2 B 2.16, 4 Cr 2.39
5 Cr 0.5000 0.8284 0.6567  2 B 2.35, 6 Cr 2.39-2.59
6 B 0.5000 0.5649 0.1299  1 B 1.79
7 B 0.5000 0.4351 0.8701  1 B 1.79

Properties
Calculated formation energy (eV per atom): -0.344

***

A relaxed structure of HfCr2B. Source: the Alexandria database, functional PBE.

Cell lengths 4.1083, 4.1083, 4.1083 Å; angles 60.00, 60.00, 60.00 degrees
Closest atoms and distances in Å follow each position.
Positions (direct):
1 Hf 0.5000 0.5000 0.5000  8 Cr 2.52
2 Cr 0.7500 0.7500 0.7500  4 Hf 2.52, 4 B 2.52
3 B 0.0000 0.0000 0.0000  8 Cr 2.52
4 Cr 0.2500 0.2500 0.2500  4 B 2.52, 4 Hf 2.52

Properties
Calculated formation energy (eV per atom): 0.526

***

A relaxed structure of HfCrB3. Source: the Alexandria database, functional PBE.

Cell lengths 4.2945, 4.2945, 4.2945 Å; angles 90.00, 90.00, 90.00 degrees
Closest atoms and distances in Å follow each position.
Positions (direct):
1 B 0.0000 0.0000 0.5000  2 Hf 2.15
2 Cr 0.5000 0.5000 0.5000  12 B 3.04
3 B 0.5000 0.0000 0.0000  2 Hf 2.15
4 Hf 0.0000 0.0000 0.0000  6 B 2.15
5 B 0.0000 0.5000 0.0000  2 Hf 2.15

Properties
Calculated formation energy (eV per atom): 1.753

***

A relaxed structure of HfCr2B. Source: the Alexandria database, functional PBE.

Cell lengths 6.7566, 6.7566, 5.3083 Å; angles 50.48, 50.48, 90.00 degrees
Closest atoms and distances in Å follow each position.
Positions (direct):
1 Hf 0.7500 0.2500 0.5000  2 B 2.31
2 Cr 0.2114 0.6250 0.2500  2 B 2.10
3 Cr 0.8750 0.7886 0.7500  2 B 2.10
4 Hf 0.0000 0.0000 0.0000  2 B 2.31
5 B 0.5000 0.5000 0.0000  4 Cr 2.10, 2 Hf 2.31
6 B 0.2500 0.7500 0.5000  4 Cr 2.10, 2 Hf 2.31
7 Cr 0.5386 0.1250 0.2500  2 B 2.10
8 Cr 0.3750 0.4614 0.7500  2 B 2.10

Properties
Calculated formation energy (eV per atom): 0.243

***

A relaxed structure of HfCrB. Source: the Alexandria database, functional PBE.

Cell lengths 3.0584, 4.6057, 5.7014 Å; angles 80.71, 79.79, 89.31 degrees
Closest atoms and distances in Å follow each position.
Positions (direct):
1 Cr 0.8639 0.2695 0.9559  3 B 2.19-2.32
2 Hf 0.2159 0.9557 0.3229  4 B 2.38-2.44
3 B 0.8000 0.6647 0.1276  2 B 1.74-1.77
4 Hf 0.4080 0.8080 0.7972  3 B 2.41-2.44
5 B 0.2904 0.4795 0.1848  2 B 1.74-1.77
6 Cr 0.7087 0.3955 0.4965  3 B 2.24-2.35

Properties
Calculated formation energy (eV per atom): -0.201

***

A relaxed structure of HfCrB. Source: the Alexandria database, functional PBE.

Cell lengths 4.6574, 3.0913, 5.3990 Å; angles 90.00, 102.24, 90.00 degrees
Closest atoms and distances in Å follow each position.
Positions (direct):
1 Cr 0.5463 0.7500 0.6702  3 B 2.20, 2 Cr 2.37
2 B 0.4064 0.7500 0.0340  2 B 1.85
3 Hf 0.9430 0.7500 0.2407  4 B 2.49-2.63
4 Hf 0.0570 0.2500 0.7593  4 B 2.49-2.63
5 Cr 0.4537 0.2500 0.3298  3 B 2.20, 2 Cr 2.37
6 B 0.5936 0.2500 0.9660  2 B 1.85

Properties
Calculated formation energy (eV per atom): -0.429

***

A relaxed structure of HfCr2B4. Source: the Alexandria database, functional PBE.

Cell lengths 3.0202, 3.2601, 6.9250 Å; angles 103.61, 102.60, 90.00 degrees
Closest atoms and distances in Å follow each position.
Positions (direct):
1 Cr 0.1881 0.1881 0.3762  7 B 2.19-2.29
2 B 0.0738 0.5738 0.1475  3 B 1.78-1.94
3 B 0.9262 0.4262 0.8525  3 B 1.78-1.94
4 Cr 0.8119 0.8119 0.6238  7 B 2.19-2.29
5 B 0.6451 0.6451 0.2901  2 B 1.78
6 Hf 0.5000 0.0000 0.0000  12 B 2.42-2.51
7 B 0.3549 0.3549 0.7099  2 B 1.78

Properties
Calculated formation energy (eV per atom): -0.598

***

A relaxed structure of Hf3CrB7. Source: the Alexandria database, functional PBE.

Cell lengths 3.2656, 7.5863, 8.9722 Å; angles 90.00, 90.00, 102.43 degrees
Closest atoms and distances in Å follow each position.
Positions (direct):
1 B 0.6325 0.2651 0.6520  3 B 1.76-1.80
2 B 0.4834 0.9668 0.4064  3 B 1.75-1.80
3 B 0.7271 0.4541 0.5324  3 B 1.76-1.86
4 Hf 0.8929 0.7859 0.9454  11 B 2.47-2.54
5 B 0.5166 0.0332 0.5936  3 B 1.75-1.80
6 B 0.2729 0.5459 0.0324  3 B 1.76-1.86
7 Hf 0.1071 0.2141 0.0546  11 B 2.47-2.54
8 B 0.5575 0.1150 0.2500  2 B 1.78
9 B 0.6325 0.2651 0.8480  3 B 1.76-1.80
10 B 0.4834 0.9668 0.0936  3 B 1.75-1.80
11 Hf 0.8929 0.7859 0.5546  11 B 2.47-2.54
12 B 0.2729 0.5459 0.4676  3 B 1.76-1.86
13 B 0.7271 0.4541 0.9676  3 B 1.76-1.86
14 B 0.3675 0.7349 0.3480  3 B 1.76-1.80
15 B 0.3675 0.7349 0.1520  3 B 1.76-1.80
16 B 0.5166 0.0332 0.9064  3 B 1.75-1.80
17 Cr 0.9524 0.9048 0.2500  10 B 2.20-2.26
18 B 0.4425 0.8850 0.7500  2 B 1.78
19 Cr 0.0476 0.0952 0.7500  10 B 2.20-2.26
20 Hf 0.2467 0.4934 0.7500  10 B 2.51-2.56
21 Hf 0.7533 0.5066 0.2500  10 B 2.51-2.56
22 Hf 0.1071 0.2141 0.4454  11 B 2.47-2.54

Properties
Calculated formation energy (eV per atom): -0.876

***

A relaxed structure of HfCrB. Source: the Alexandria database, functional PBE.

Cell lengths 5.7501, 3.2171, 9.1978 Å; angles 90.00, 112.78, 90.00 degrees
Closest atoms and distances in Å follow each position.
Positions (direct):
1 Hf 0.4876 0.5000 0.5125  6 B 2.58-2.65
2 Cr 0.1659 0.5000 0.7195  3 B 2.12-2.22, 2 Cr 2.24
3 Hf 0.8700 0.0000 0.8008  3 B 2.34-2.42, 2 Cr 2.57
4 B 0.4293 0.5000 0.2152  2 B 1.87
5 B 0.4293 0.0000 0.7152  2 B 1.87
6 Hf 0.4876 0.0000 0.0125  6 B 2.58-2.65
7 B 0.5665 0.0000 0.3159  2 B 1.87
8 B 0.5665 0.5000 0.8159  2 B 1.87
9 Hf 0.8700 0.5000 0.3008  3 B 2.34-2.42, 2 Cr 2.57
10 Cr 0.0229 0.0000 0.5370  2 Cr 2.24, 1 B 2.28
11 Cr 0.1659 0.0000 0.2195  3 B 2.12-2.22, 2 Cr 2.24
12 Cr 0.0229 0.5000 0.0370  2 Cr 2.24, 1 B 2.28

Properties
Calculated formation energy (eV per atom): -0.219